10
Lattice="-4.009 5.626 -1.623 -0.271 -2.144 -6.759 -2.058 -1.322 0.502" Properties=species:S:1:pos:R:3 comment="LiCu2Ni2 PBE optimized geometry" polymorph_energy_kj_per_mol_atoms=7.8 space_group="P4/mbm, No. 127" e_tot_ev_per_atom=-4.25 delta_e_f_ev_per_atom=0.08 magmom_total_mub_per_atom=0.000 pbc="T T T"
Ni -1.873 -1.156 -4.516
Ni -3.923 1.294 -6.470
Ni -4.465 3.317 -3.365
Ni -2.415 0.866 -1.411
Cu -1.718 0.216 -6.480
Cu -3.658 3.542 -5.672
Cu -2.562 3.266 -1.903
Cu -0.622 -0.060 -2.711
Li 0.000 0.000 0.000
Li -2.140 1.741 -4.191



4
Lattice="-0.524 -2.042 -4.375 3.525 -2.800 -1.821 -1.361 -6.133 0.336" Properties=species:S:1:pos:R:3 comment="BaCd2Pt PBE optimized geometry" space_group="Cm, No. 8" e_tot_ev_per_atom=-2.91 delta_e_f_ev_per_atom=-0.46 magmom_total_mub_per_atom=0.000 pbc="T T T"
Ba 0.370 -2.815 -1.423
Pt 0.380 -6.334 -2.484
Cd -1.038 -5.514 0.008
Cd 1.387 -7.931 -4.555



16
Lattice="-2.454 7.227 2.152 -5.949 -3.767 5.866 7.615 -2.058 0.987" Properties=species:S:1:pos:R:3 comment="Tb8Tl4PSe3 PBE optimized geometry" space_group="C2/m, No. 12" e_tot_ev_per_atom=-4.95 magmom_total_mub_per_atom=0.000 e_form_raw_kj_per_mol_atoms=-101.3 pbc="T T T"
Tb 2.658 -3.020 5.643
Tb -1.269 -1.960 5.134
Tb 1.656 -0.245 2.710
Tb 1.393 0.706 6.752
Tb -2.181 0.696 2.253
Tb -2.443 1.647 6.294
Tb 0.481 3.361 3.870
Tb -3.446 4.422 3.362
Tl -1.227 3.613 1.076
Tl 2.581 2.584 1.569
Tl 0.000 0.000 0.000
Tl 3.808 -1.029 0.493
P -2.975 -1.883 2.933
Se -4.201 1.730 4.009
Se -0.394 0.701 4.502
Se 0.833 -2.912 3.427



4
Lattice="2.808 0.009 0.000 -0.960 2.639 0.000 0.000 0.000 8.697" Properties=species:S:1:pos:R:3 comment="Al2AgW PBE optimized geometry" polymorph_energy_kj_per_mol_atoms=2.1 space_group="Cmmm, No. 65" e_tot_ev_per_atom=-5.79 delta_e_f_ev_per_atom=0.03 magmom_total_mub_per_atom=0.000 pbc="T T T"
Ag 0.924 1.324 6.523
W 0.924 1.324 2.174
Al 0.000 0.000 0.070
Al 0.000 0.000 4.278



5
Lattice="-1.834 4.228 1.118 -5.863 -2.592 0.181 0.571 -0.970 4.607" Properties=species:S:1:pos:R:3 comment="RbCo2MoCl PBE optimized geometry" space_group="P4/mmm, No. 123" e_tot_ev_per_atom=-2.90 magmom_total_mub_per_atom=1.538 e_form_raw_kj_per_mol_atoms=257.4 pbc="T T T"
Mo -2.931 -1.296 0.090
Co 0.286 -0.485 2.303
Co -0.917 2.114 0.559
Rb 0.000 0.000 0.000
Cl -3.563 0.333 2.953



12
Lattice="-0.905 -2.945 -5.942 4.888 -2.095 4.064 -5.471 -2.619 3.390" Properties=species:S:1:pos:R:3 comment="Li3DyZr2Se6 PBE optimized geometry" space_group="C2/m, No. 12" e_tot_ev_per_atom=-5.46 magmom_total_mub_per_atom=0.000 e_form_raw_kj_per_mol_atoms=-137.9 pbc="T T T"
Li 1.199 -3.545 4.114
Li -2.688 -4.115 -2.601
Li -0.744 -3.830 0.756
Dy 0.000 0.000 0.000
Zr 2.957 -2.379 0.729
Zr 1.026 -2.662 -2.607
Se -2.122 -5.849 -0.587
Se 1.559 -4.400 -0.529
Se 0.633 -1.811 2.100
Se -0.127 -5.556 2.858
Se -3.047 -3.260 2.041
Se -1.361 -2.104 -1.346